Material: MgZn2Cd
Method: DFT, GGA-PBE
State: optimized geometry

```
data_MgZn2Cd
_symmetry_space_group_name_H-M 'P 1'
_symmetry_Int_Tables_number 1
_symmetry_space_group_name_Hall 'P 1'
_cell_length_a 4.979
_cell_length_b 4.979
_cell_length_c 3.145
_cell_angle_alpha 90.00
_cell_angle_beta 90.00
_cell_angle_gamma 106.74
loop_
_atom_site_label
_atom_site_type_symbol
_atom_site_fract_x
_atom_site_fract_y
_atom_site_fract_z
Cd1 Cd 0.500 0.000 0.500
Zn1 Zn 0.500 0.500 0.000
Zn2 Zn 0.000 0.000 0.000
Mg1 Mg 0.000 0.500 0.500
```

Calculated values
ΔE to the lowest computed polymorph   41.7 meV per atom
SG   No. 65


Material: HgAsPb2
Method: DFT, GGA-PBE
State: optimized geometry

```
data_HgAsPb2
_symmetry_space_group_name_H-M 'P 1'
_symmetry_Int_Tables_number 1
_symmetry_space_group_name_Hall 'P 1'
_cell_length_a 6.200
_cell_length_b 6.200
_cell_length_c 6.200
_cell_angle_alpha 137.15
_cell_angle_beta 137.15
_cell_angle_gamma 62.21
loop_
_atom_site_label
_atom_site_type_symbol
_atom_site_fract_x
_atom_site_fract_y
_atom_site_fract_z
Pb1 Pb 0.250 0.750 0.500
Pb2 Pb 0.000 0.000 0.000
Hg1 Hg 0.750 0.250 0.500
As1 As 0.500 0.500 0.000
```

Calculated values
ΔE to the lowest computed polymorph   110.1 meV per atom
SG   No. 119


Material: TbPrTlAu
Method: DFT, GGA-PBE
State: optimized geometry

```
data_TbPrTlAu
_symmetry_space_group_name_H-M 'P 1'
_symmetry_Int_Tables_number 1
_symmetry_space_group_name_Hall 'P 1'
_cell_length_a 5.357
_cell_length_b 5.357
_cell_length_c 5.357
_cell_angle_alpha 60.00
_cell_angle_beta 60.00
_cell_angle_gamma 60.00
loop_
_atom_site_label
_atom_site_type_symbol
_atom_site_fract_x
_atom_site_fract_y
_atom_site_fract_z
Pr1 Pr 0.250 0.250 0.250
Tb1 Tb 0.750 0.750 0.750
Au1 Au 0.000 0.000 0.000
Tl1 Tl 0.500 0.500 0.500
```

Calculated values
ΔE to the lowest computed polymorph   64.8 meV per atom
SG   No. 216


Material: TaTi5C4
Method: DFT, GGA-PBE
State: optimized geometry

```
data_TaTi5C4
_symmetry_space_group_name_H-M 'P 1'
_symmetry_Int_Tables_number 1
_symmetry_space_group_name_Hall 'P 1'
_cell_length_a 3.115
_cell_length_b 6.156
_cell_length_c 6.851
_cell_angle_alpha 104.31
_cell_angle_beta 103.14
_cell_angle_gamma 90.00
loop_
_atom_site_label
_atom_site_type_symbol
_atom_site_fract_x
_atom_site_fract_y
_atom_site_fract_z
C1 C 0.672 0.095 0.343
C2 C 0.003 0.259 0.005
C3 C 0.328 0.905 0.657
C4 C 0.997 0.741 0.995
Ti1 Ti 0.166 0.323 0.332
Ti2 Ti 0.165 0.853 0.331
Ti3 Ti 0.500 0.500 0.000
Ti4 Ti 0.834 0.677 0.668
Ti5 Ti 0.835 0.147 0.669
Ta1 Ta 0.500 0.000 0.000
```

Calculated values
SG   No. 12


DOS at the Fermi energy, respectively: 2.0, 1.7, 4.1, 6.3 states/eV per cell.
Formation enthalpy at 0 K, respectively: 0.008, 0.107, -0.530, -0.704 eV/atom.